# 1
Here is TbDy3Tm3Se8 after structural relaxation from Alexandria. Energies are from PBE. Values from VASP.

calculated density	7977	kg/m3
electronic total energy	-86.83	eV per formula unit
formation energy (no corrections)	-1.807	eV/atom
total moment	0.00	Bohr magnetons per cell

Structure (Quantum ESPRESSO input):
```
&SYSTEM
  ibrav = 0, nat = 15, ntyp = 4
/
ATOMIC_SPECIES
Tm 168.93 Tm.upf
Dy 162.50 Dy.upf
Tb 158.93 Tb.upf
Se 78.96 Se.upf
CELL_PARAMETERS angstrom
-5.091 5.596 2.802
-2.309 -4.937 -5.948
0.961 -2.872 7.482
ATOMIC_POSITIONS angstrom
Tm -2.065 1.362 5.142
Tm -0.674 -3.904 0.767
Tm -3.219 -1.106 2.168
Dy 0.000 0.000 0.000
Dy -1.154 -2.468 -2.974
Dy -3.700 0.330 -1.573
Tb 0.481 -1.436 3.741
Se -5.349 -2.933 1.777
Se -1.089 0.720 2.558
Se -2.197 -1.808 -0.380
Se -1.760 -3.253 3.301
Se -3.561 3.437 3.919
Se -2.878 -5.649 0.417
Se -4.679 1.041 1.035
Se -4.241 -0.404 4.715
```


# 2
Here is TlZn2Cu2 after structural relaxation from Alexandria. Energies are from PBE. Values from VASP.

calculated density	8788	kg/m3
formation energy	173	meV per atom
electronic total energy	-12.24	eV per formula unit
energy relative to the lowest polymorph listed for this composition	50	meV per atom
total moment	0.00	Bohr magnetons per cell

Structure (Quantum ESPRESSO input):
```
&SYSTEM
  ibrav = 0, nat = 5, ntyp = 3
/
ATOMIC_SPECIES
Zn 65.41 Zn.upf
Tl 204.38 Tl.upf
Cu 63.55 Cu.upf
CELL_PARAMETERS angstrom
-3.017 1.323 -1.697
-2.116 -2.358 1.923
-3.241 3.833 4.703
ATOMIC_POSITIONS angstrom
Zn -2.718 0.461 1.145
Zn -5.656 2.338 3.785
Tl 0.000 0.000 0.000
Cu -3.961 0.479 3.370
Cu -4.412 2.320 1.560
```


# 3
Here is Li2HgAs2 after structural relaxation from Alexandria. Energies are from PBE. Values from VASP.

calculated density	6387	kg/m3
formation energy	-238	meV per atom
electronic total energy	-14.62	eV per formula unit
energy relative to the lowest polymorph listed for this composition	34	meV per atom
total moment	0.00	Bohr magnetons per cell

Structure (Quantum ESPRESSO input):
```
&SYSTEM
  ibrav = 0, nat = 10, ntyp = 3
/
ATOMIC_SPECIES
As 74.92 As.upf
Li 6.94 Li.upf
Hg 200.59 Hg.upf
CELL_PARAMETERS angstrom
-4.818 1.884 -6.540
-4.823 -6.599 1.653
-1.569 1.548 1.601
ATOMIC_POSITIONS angstrom
As -4.781 -3.301 0.824
As -3.194 0.321 -1.123
As -6.430 0.133 -4.110
As -8.016 -3.489 -2.163
Li -3.666 0.327 -3.907
Li -2.411 -2.194 -0.241
Li -7.231 -2.521 -4.646
Li -5.976 -5.043 -0.980
Hg -4.821 -2.358 -2.444
Hg 0.000 0.000 0.000
```


# 4
Here is AcGdIrAu after structural relaxation from Alexandria. Energies are from PBE. Values from VASP.

calculated density	12859	kg/m3
formation energy	-641	meV per atom
electronic total energy	-32.89	eV per formula unit
total moment	7.08	Bohr magnetons per cell

Structure (Quantum ESPRESSO input):
```
&SYSTEM
  ibrav = 0, nat = 4, ntyp = 4
/
ATOMIC_SPECIES
Gd 157.25 Gd.upf
Au 196.97 Au.upf
Ac 227.00 Ac.upf
Ir 192.22 Ir.upf
CELL_PARAMETERS angstrom
5.208 0.000 0.000
2.604 4.510 0.000
2.604 1.503 4.252
ATOMIC_POSITIONS angstrom
Gd 7.812 4.510 3.189
Au 0.000 0.000 0.000
Ac 2.604 1.503 1.063
Ir 5.208 3.007 2.126
```


# 5
Here is Er8Pt2Rh3 after structural relaxation from Alexandria. Energies are from PBE. Values from VASP.

calculated density	10785	kg/m3
formation energy	-862	meV per atom
electronic total energy	-81.85	eV per formula unit
total moment	0.00	Bohr magnetons per cell

Structure (Quantum ESPRESSO input):
```
&SYSTEM
  ibrav = 0, nat = 13, ntyp = 3
/
ATOMIC_SPECIES
Er 167.26 Er.upf
Pt 195.08 Pt.upf
Rh 102.91 Rh.upf
CELL_PARAMETERS angstrom
4.787 0.000 0.000
0.000 8.368 -4.813
0.000 -0.805 8.293
ATOMIC_POSITIONS angstrom
Er 0.000 6.722 2.018
Er 2.394 7.115 -2.164
Er 2.394 2.919 0.248
Er 4.787 0.841 1.462
Er 2.394 4.644 3.231
Er 2.394 0.448 5.644
Er 0.000 2.550 4.444
Er 0.000 5.013 -0.964
Pt 2.394 1.700 2.960
Pt 2.394 5.863 0.520
Rh 0.000 6.290 -3.617
Rh 0.000 1.273 7.096
Rh 2.394 0.000 0.000
```


# 6
Here is ZnPdRh after structural relaxation from Alexandria. Energies are from PBE. Values from VASP.

calculated density	10490	kg/m3
formation energy	-226	meV per atom
electronic total energy	-14.50	eV per formula unit
energy relative to the lowest polymorph listed for this composition	37	meV per atom
total moment	0.00	Bohr magnetons per cell

Structure (Quantum ESPRESSO input):
```
&SYSTEM
  ibrav = 0, nat = 12, ntyp = 3
/
ATOMIC_SPECIES
Zn 65.41 Zn.upf
Pd 106.42 Pd.upf
Rh 102.91 Rh.upf
CELL_PARAMETERS angstrom
-1.493 0.270 -5.176
-3.738 -0.947 1.029
-1.197 7.742 2.775
ATOMIC_POSITIONS angstrom
Zn -0.507 1.359 -0.592
Zn -3.112 2.315 -1.436
Zn -2.975 4.756 1.310
Zn -1.841 6.659 -0.563
Pd -4.376 7.493 -1.263
Pd -1.092 6.471 1.986
Pd -2.363 2.127 1.113
Pd -1.909 4.096 -3.165
Rh -1.189 4.067 -0.578
Rh -3.717 4.885 -1.268
Rh -2.460 -0.277 -1.451
Rh -1.249 1.488 -3.170
```


# 7
Here is NaAg2Te2 after structural relaxation from Alexandria. Energies are from PBE. Values from VASP.

calculated density	5519	kg/m3
electronic total energy	-14.65	eV per formula unit
formation energy (no corrections)	-0.270	eV/atom
energy relative to the lowest polymorph listed for this composition	16	meV per atom
total moment	0.00	Bohr magnetons per cell

Structure (Quantum ESPRESSO input):
```
&SYSTEM
  ibrav = 0, nat = 10, ntyp = 3
/
ATOMIC_SPECIES
Ag 107.87 Ag.upf
Te 127.60 Te.upf
Na 22.99 Na.upf
CELL_PARAMETERS angstrom
-0.325 -3.713 6.681
5.197 -4.204 -3.719
2.076 5.762 0.830
ATOMIC_POSITIONS angstrom
Ag 4.104 -5.161 0.313
Ag 3.552 -0.030 -0.223
Ag 2.844 3.007 3.479
Ag 3.396 -2.125 4.015
Te 3.707 0.388 2.642
Te 6.005 0.184 -1.685
Te 3.241 -2.543 1.150
Te 0.943 -2.339 5.477
Na 1.977 0.543 5.901
Na 4.972 -2.697 -2.109
```


# 8
Here is SrOsSe2 after structural relaxation from Alexandria. Energies are from PBE. Values from VASP.

calculated density	7615	kg/m3
electronic total energy	-20.34	eV per formula unit
formation energy (no corrections)	-0.115	eV/atom
energy relative to the lowest polymorph listed for this composition	541	meV per atom
total moment	0.00	Bohr magnetons per cell

Structure (Quantum ESPRESSO input):
```
&SYSTEM
  ibrav = 0, nat = 4, ntyp = 3
/
ATOMIC_SPECIES
Sr 87.62 Sr.upf
Os 190.23 Os.upf
Se 78.96 Se.upf
CELL_PARAMETERS angstrom
3.245 0.002 0.000
-0.004 3.245 0.000
0.000 0.000 9.022
ATOMIC_POSITIONS angstrom
Sr 0.000 0.000 4.640
Os 1.621 1.624 7.135
Se 1.621 1.624 2.565
Se 0.000 0.000 8.217
```


# 9
Here is Nd2SmCdHg4 after structural relaxation from Alexandria. Energies are from PBE. Values from VASP.

calculated density	10526	kg/m3
formation energy	-439	meV per atom
electronic total energy	-19.89	eV per formula unit
total moment	0.00	Bohr magnetons per cell

Structure (Quantum ESPRESSO input):
```
&SYSTEM
  ibrav = 0, nat = 8, ntyp = 4
/
ATOMIC_SPECIES
Hg 200.59 Hg.upf
Sm 150.36 Sm.upf
Cd 112.41 Cd.upf
Nd 144.24 Nd.upf
CELL_PARAMETERS angstrom
5.241 0.000 0.000
2.620 4.539 0.000
2.620 1.513 8.978
ATOMIC_POSITIONS angstrom
Hg 2.620 1.513 5.683
Hg 5.241 3.026 0.958
Hg 7.861 4.539 3.295
Hg 5.241 3.026 8.020
Sm 0.000 0.000 0.000
Cd 5.241 3.026 4.489
Nd 7.861 4.539 6.481
Nd 2.620 1.513 2.497
```


# 10
Here is PtRhCl2 after structural relaxation from Alexandria. Energies are from PBE. Values from VASP.

calculated density	9013	kg/m3
electronic total energy	-15.40	eV per formula unit
formation energy (no corrections)	0.422	eV/atom
energy relative to the lowest polymorph listed for this composition	535	meV per atom
total moment	0.00	Bohr magnetons per cell

Structure (Quantum ESPRESSO input):
```
&SYSTEM
  ibrav = 0, nat = 4, ntyp = 3
/
ATOMIC_SPECIES
Pt 195.08 Pt.upf
Rh 102.91 Rh.upf
Cl 35.45 Cl.upf
CELL_PARAMETERS angstrom
5.161 -0.035 0.023
-1.294 4.996 0.023
1.114 1.429 2.654
ATOMIC_POSITIONS angstrom
Pt 3.137 0.697 1.338
Rh -0.090 3.213 1.338
Cl 1.933 2.481 0.023
Cl 0.000 0.000 0.000
```


# 11
Here is La2Ce2AlSi4 after structural relaxation from Alexandria. Energies are from PBE. Values from VASP.

calculated density	5341	kg/m3
electronic total energy	-49.23	eV per formula unit
formation energy (no corrections)	-0.231	eV/atom
total moment	1.23	Bohr magnetons per cell

Structure (Quantum ESPRESSO input):
```
&SYSTEM
  ibrav = 0, nat = 9, ntyp = 4
/
ATOMIC_SPECIES
La 138.91 La.upf
Si 28.09 Si.upf
Ce 140.12 Ce.upf
Al 26.98 Al.upf
CELL_PARAMETERS angstrom
-0.942 1.755 -6.302
-3.876 -4.910 2.135
-1.623 4.610 4.449
ATOMIC_POSITIONS angstrom
La -3.784 -1.652 -0.438
La -2.657 3.108 0.720
Si -1.800 0.783 -1.468
Si -3.326 -2.588 2.699
Si -4.640 0.673 1.750
Si -2.172 2.289 3.885
Ce -1.836 -0.100 2.199
Ce -3.662 -0.199 4.385
Al 0.000 0.000 0.000
```


# 12
Here is MgGaB after structural relaxation from Alexandria. Energies are from PBE. Values from VASP.

calculated density	4292	kg/m3
formation energy	-16	meV per atom
electronic total energy	-11.35	eV per formula unit
total moment	0.00	Bohr magnetons per cell

Structure (Quantum ESPRESSO input):
```
&SYSTEM
  ibrav = 0, nat = 6, ntyp = 3
/
ATOMIC_SPECIES
B 10.81 B.upf
Mg 24.30 Mg.upf
Ga 69.72 Ga.upf
CELL_PARAMETERS angstrom
-0.179 -3.081 -0.637
3.796 -0.258 0.183
5.194 -1.723 6.882
ATOMIC_POSITIONS angstrom
B 3.786 -0.559 0.603
B 5.130 -3.411 6.230
Mg 1.730 -2.132 0.998
Mg 7.187 -1.837 5.835
Ga 5.303 -2.945 3.931
Ga 3.614 -1.024 2.902
```


Look up the electronic total energy of the fifth one.
-81.85 eV per formula unit


What did the ninth record say?
Here is Nd2SmCdHg4 after structural relaxation from Alexandria. Energies are from PBE. Values from VASP.

calculated density	10526	kg/m3
formation energy	-439	meV per atom
electronic total energy	-19.89	eV per formula unit
total moment	0.00	Bohr magnetons per cell

Structure (Quantum ESPRESSO input):
```
&SYSTEM
  ibrav = 0, nat = 8, ntyp = 4
/
ATOMIC_SPECIES
Hg 200.59 Hg.upf
Sm 150.36 Sm.upf
Cd 112.41 Cd.upf
Nd 144.24 Nd.upf
CELL_PARAMETERS angstrom
5.241 0.000 0.000
2.620 4.539 0.000
2.620 1.513 8.978
ATOMIC_POSITIONS angstrom
Hg 2.620 1.513 5.683
Hg 5.241 3.026 0.958
Hg 7.861 4.539 3.295
Hg 5.241 3.026 8.020
Sm 0.000 0.000 0.000
Cd 5.241 3.026 4.489
Nd 7.861 4.539 6.481
Nd 2.620 1.513 2.497
```


The highest electronic total energy belongs to which entry?
MgGaB


What is the calculated density in the fifth record?
10785 kg/m3